TcNiB2F | GGA+U | optimized geometry

Lattice parameters (Å, degrees): 3.8301 3.8301 3.6103 90.00 90.00 90.00
Last column: nearest neighbours and their distance in Å.
Space group P4/mmm (No. 123)
One atom of each set of equivalent atoms:
Tc: 0.0000 0.0000 0.0000  8 B 2.63, 4 Ni 2.71
Ni: 0.5000 0.5000 0.0000  2 F 1.81
B: 0.0000 0.5000 0.5000  2 F 1.92
F: 0.5000 0.5000 0.5000  2 Ni 1.81, 4 B 1.92

- uncorrected energy (eV per atom) = -4.492